Below is a relaxed Sc2CCl crystal, with properties calculated at the PBE-GGA level.

The total energy comes out at -6.672 eV/atom.

abc: 5.5753 5.5753 6.4822
angles: 64.53 64.53 90.00
With the nearest neighbours (Å) after each atom.
Positions (direct):
Sc 0.3750 0.4454 0.7500  2 C 2.14
C 0.5000 0.5000 0.0000  4 Sc 2.14
C 0.2500 0.7500 0.5000  4 Sc 2.14
Sc 0.1954 0.6250 0.2500  2 C 2.14
Sc 0.5546 0.1250 0.2500  2 C 2.14
Cl 0.7500 0.2500 0.5000  4 Sc 2.61
Cl 0.0000 0.0000 0.0000  4 Sc 2.61
Sc 0.8750 0.8046 0.7500  2 C 2.14


Below is a relaxed ScCCl2 crystal, with properties calculated at the PBE-GGA level.

The total energy comes out at -4.910 eV/atom.

abc: 9.3651 9.3651 6.9940
angles: 47.97 47.97 90.00
With the nearest neighbours (Å) after each atom.
Positions (direct):
Sc 0.0000 0.0000 0.0000  2 C 2.25
C 0.5000 0.5000 0.0000  2 Sc 2.25
Cl 0.3750 0.2079 0.7500  2 Sc 2.53
Cl 0.7921 0.1250 0.2500  2 Sc 2.53
Cl 0.8750 0.0421 0.7500  2 Sc 2.53
Sc 0.7500 0.2500 0.5000  2 C 2.25
Cl 0.9579 0.6250 0.2500  2 Sc 2.53
C 0.2500 0.7500 0.5000  2 Sc 2.25


For reference, energy relative to the elements, uncorrected by record: -0.74, -0.10 eV per atom.